Entry from Alexandria via LeMat-Bulk: a relaxed La3Si3Pt8 crystal (PBE).

- formation energy without anion corrections (eV per atom) = -1.048
- M_tot (μB per formula unit) = 0.0

Structure (CIF):
```
data_La3Si3Pt8
_symmetry_space_group_name_H-M 'P 1'
_symmetry_Int_Tables_number 1
_symmetry_space_group_name_Hall 'P 1'
_cell_length_a 4.365
_cell_length_b 8.504
_cell_length_c 8.580
_cell_angle_alpha 61.66
_cell_angle_beta 75.26
_cell_angle_gamma 75.13
loop_
_atom_site_label
_atom_site_type_symbol
_atom_site_fract_x
_atom_site_fract_y
_atom_site_fract_z
_atom_site_occupancy
Pt1 Pt 0.358 0.046 0.238 1
Pt2 Pt 0.514 0.658 0.314 1
Pt3 Pt 0.143 0.561 0.152 1
Si1 Si 0.329 0.344 0.998 1
Si2 Si 0.000 0.500 0.500 1
La1 La 0.000 0.000 0.000 1
Pt4 Pt 0.893 0.822 0.392 1
La2 La 0.711 0.250 0.328 1
Si3 Si 0.671 0.656 0.002 1
La3 La 0.289 0.750 0.672 1
Pt5 Pt 0.486 0.342 0.686 1
Pt6 Pt 0.857 0.439 0.848 1
Pt7 Pt 0.107 0.178 0.608 1
Pt8 Pt 0.642 0.954 0.762 1
```